Er6N5F: optimized geometry, PBE.

Cell and atoms, written as POSCAR:
```
Er6N5F
1.0
2.978 -5.151 0.000
2.978 5.151 0.000
-1.999 0.000 5.595
Er N F
6 5 1
Direct
0.063 0.414 0.744 Er
0.236 0.236 0.264 Er
0.414 0.063 0.744 Er
0.586 0.937 0.256 Er
0.764 0.764 0.736 Er
0.937 0.586 0.256 Er
0.000 0.000 0.500 N
0.167 0.833 0.000 N
0.333 0.667 0.500 N
0.667 0.333 0.500 N
0.833 0.167 0.000 N
0.500 0.500 0.000 F
```

- total magnetic moment (μB per cell) = 0.0
- raw formation energy (meV per atom) = -1940
- symmetry = C2/m (12)

Na3ErF6: optimized geometry, PBE.

Cell and atoms, written as POSCAR:
```
Na3ErF6
1.0
6.111 0.000 0.000
0.000 11.568 0.000
0.000 0.000 3.932
Na Er F
6 2 12
Direct
0.000 0.000 0.000 Na
0.063 0.240 0.500 Na
0.437 0.740 0.000 Na
0.500 0.500 0.500 Na
0.563 0.260 0.000 Na
0.937 0.760 0.500 Na
0.000 0.500 0.000 Er
0.500 0.000 0.500 Er
0.067 0.696 0.000 F
0.164 0.560 0.500 F
0.171 0.916 0.500 F
0.329 0.416 0.000 F
0.336 0.060 0.000 F
0.433 0.196 0.500 F
0.567 0.804 0.500 F
0.664 0.940 0.000 F
0.671 0.584 0.000 F
0.829 0.084 0.500 F
0.836 0.440 0.500 F
0.933 0.304 0.000 F
```

- total magnetic moment (μB per cell) = 0.0
- energy above the most stable polymorph in this dataset (eV/f.u.) = 0.48
- raw formation energy (meV per atom) = -3256
- symmetry = Pnnm (58)

Copy entry 1 word for word.
Er6N5F: optimized geometry, PBE.

Cell and atoms, written as POSCAR:
```
Er6N5F
1.0
2.978 -5.151 0.000
2.978 5.151 0.000
-1.999 0.000 5.595
Er N F
6 5 1
Direct
0.063 0.414 0.744 Er
0.236 0.236 0.264 Er
0.414 0.063 0.744 Er
0.586 0.937 0.256 Er
0.764 0.764 0.736 Er
0.937 0.586 0.256 Er
0.000 0.000 0.500 N
0.167 0.833 0.000 N
0.333 0.667 0.500 N
0.667 0.333 0.500 N
0.833 0.167 0.000 N
0.500 0.500 0.000 F
```

- total magnetic moment (μB per cell) = 0.0
- raw formation energy (meV per atom) = -1940
- symmetry = C2/m (12)